ZrPd2Au (PBE, relaxed); DFT total energy = -24.33 eV per formula unit; total moment = 0.0000 μB per atom; space group = No. 123; ΔH_f (0 K) = -2.121 eV per formula unit; energy above the most stable polymorph in this dataset = 176 meV per atom; N(E_F) = 4.391 states/eV per cell
1.0
4.117 0.000 0.000
0.000 4.117 0.000
0.000 0.000 4.088
Zr Pd Au
1 2 1
direct
0.000 0.000 0.000
0.000 0.500 0.500
0.500 0.000 0.500
0.500 0.500 0.000



ZrPd6Au12 (PBE, relaxed); DFT total energy = -81.77 eV per formula unit; total moment = 0.0000 μB per atom; space group = No. 148; ΔH_f (0 K) = -2.735 eV per formula unit; N(E_F) = 5.069 states/eV per cell
1.0
4.944 2.854 4.024
-4.944 2.854 4.024
0.000 -5.709 4.024
Zr Pd Au
1 6 12
direct
0.000 0.000 0.000
0.118 0.260 0.737
0.260 0.737 0.118
0.263 0.882 0.740
0.737 0.118 0.260
0.740 0.263 0.882
0.882 0.740 0.263
0.046 0.381 0.158
0.158 0.046 0.381
0.190 0.578 0.483
0.381 0.158 0.046
0.422 0.517 0.810
0.483 0.190 0.578
0.517 0.810 0.422
0.578 0.483 0.190
0.619 0.842 0.954
0.810 0.422 0.517
0.842 0.954 0.619
0.954 0.619 0.842



ZrPdAu2 (PBE, relaxed); DFT total energy = -22.29 eV per formula unit; total moment = 0.0000 μB per atom; space group = No. 225; ΔH_f (0 K) = -1.997 eV per formula unit; N(E_F) = 12.311 states/eV per cell
1.0
6.632 0.000 0.000
0.000 6.632 0.000
0.000 0.000 6.632
Zr Pd Au
4 4 8
direct
0.000 0.000 0.000
0.000 0.500 0.500
0.500 0.000 0.500
0.500 0.500 0.000
0.000 0.000 0.500
0.000 0.500 0.000
0.500 0.000 0.000
0.500 0.500 0.500
0.250 0.250 0.250
0.250 0.250 0.750
0.250 0.750 0.250
0.250 0.750 0.750
0.750 0.250 0.250
0.750 0.250 0.750
0.750 0.750 0.250
0.750 0.750 0.750